# 1
# CaHfB3, relaxed, DFT PBE-GGA
# Energy relative to the lowest polymorph listed for this composition: 0.000 eV/atom
# DFT formation energy: 0.933 eV/atom
data_CaHfB3
_symmetry_space_group_name_H-M 'P m -3 m'
_symmetry_Int_Tables_number 221
_symmetry_space_group_name_Hall '-P 4 2 3'
_cell_length_a 4.460
_cell_length_b 4.460
_cell_length_c 4.460
_cell_angle_alpha 90.00
_cell_angle_beta 90.00
_cell_angle_gamma 90.00
loop_
_atom_site_label
_atom_site_type_symbol
_atom_site_fract_x
_atom_site_fract_y
_atom_site_fract_z
Ca1 Ca 0.000 0.000 0.000
Hf1 Hf 0.500 0.500 0.500
B1 B 0.000 0.500 0.500

# 2
# RbCuAsS2, relaxed, DFT PBE-GGA
# Formation energy (no corrections): -449 meV per atom
data_RbCuAsS2
_symmetry_space_group_name_H-M 'P 1 2/c 1'
_symmetry_Int_Tables_number 13
_symmetry_space_group_name_Hall '-P 2yc'
_cell_length_a 7.790
_cell_length_b 4.133
_cell_length_c 8.766
_cell_angle_alpha 90.00
_cell_angle_beta 114.38
_cell_angle_gamma 90.00
loop_
_atom_site_label
_atom_site_type_symbol
_atom_site_fract_x
_atom_site_fract_y
_atom_site_fract_z
Rb1 Rb 0.000 0.199 0.250
Cu1 Cu 0.500 0.000 0.000
As1 As 0.500 0.348 0.750
S1 S 0.293 0.296 0.055

# 3
# ZrCd4, relaxed, DFT PBE-GGA
# Energy relative to the lowest polymorph listed for this composition: 0.000 eV/atom
# DFT formation energy: -0.058 eV/atom
data_ZrCd4
_symmetry_space_group_name_H-M 'I 4/m m m'
_symmetry_Int_Tables_number 139
_symmetry_space_group_name_Hall '-I 4 2'
_cell_length_a 3.219
_cell_length_b 3.219
_cell_length_c 20.959
_cell_angle_alpha 90.00
_cell_angle_beta 90.00
_cell_angle_gamma 90.00
loop_
_atom_site_label
_atom_site_type_symbol
_atom_site_fract_x
_atom_site_fract_y
_atom_site_fract_z
Zr1 Zr 0.000 0.000 0.000
Cd1 Cd 0.000 0.000 0.200
Cd2 Cd 0.000 0.000 0.399

# 4
# SrOsRu2, relaxed, DFT PBE-GGA
# Energy relative to the lowest polymorph listed for this composition: 0.017 eV/atom
# DFT formation energy: 0.557 eV/atom
data_SrOsRu2
_symmetry_space_group_name_H-M 'P 4/m m m'
_symmetry_Int_Tables_number 123
_symmetry_space_group_name_Hall '-P 4 2'
_cell_length_a 2.921
_cell_length_b 2.921
_cell_length_c 8.325
_cell_angle_alpha 90.00
_cell_angle_beta 90.00
_cell_angle_gamma 90.00
loop_
_atom_site_label
_atom_site_type_symbol
_atom_site_fract_x
_atom_site_fract_y
_atom_site_fract_z
Sr1 Sr 0.000 0.000 0.000
Os1 Os 0.000 0.000 0.500
Ru1 Ru 0.500 0.500 0.301

Mass density list, top to bottom, in Mg/m³: 4.7; 3.7; 8.3; 11.2